--- i ---
A plane-wave DFT calculation with PBE was carried out for crystalline RePt2 at its relaxed geometry.

abc: 10.2040 2.7903 6.7150
angles: 90.00 105.53 90.00
Closest atoms and distances in Å follow each position.
Space group C2/m (No. 12)
Unique sites:
1 Re 0.2018 0.0000 0.1366 [4 per cell]  4 Re 2.69-2.79, 8 Pt 2.70-2.92
2 Pt 0.0240 0.5000 0.8129 [4 per cell]  7 Pt 2.69-2.88, 5 Re 2.73-2.80
3 Pt 0.1436 0.0000 0.5400 [4 per cell]  3 Re 2.70-2.92, 9 Pt 2.75-2.88

Properties
DOS(E_F): 12.2 states/eV/cell


--- ii ---
A plane-wave DFT calculation with PBE was carried out for crystalline RePt2 at its relaxed geometry.

abc: 4.5612 4.5612 2.7099
angles: 90.00 90.00 90.00
Closest atoms and distances in Å follow each position.
Space group P4/mmm (No. 123)
Unique sites:
1 Re 0.0000 0.0000 0.0000 [1 per cell]  8 Pt 2.65, 2 Re 2.71
2 Pt 0.0000 0.5000 0.5000 [2 per cell]  4 Re 2.65, 2 Pt 2.71

Properties
DOS(E_F): 4.4 states/eV/cell


--- iii ---
A plane-wave DFT calculation with PBE was carried out for crystalline RePt2 at its relaxed geometry.

abc: 5.1418 5.1418 8.7267
angles: 90.00 90.00 120.00
Closest atoms and distances in Å follow each position.
Space group P6_3/mmc (No. 194)
Unique sites:
1 Re 0.3333 0.6667 0.0103 [4 per cell]  6 Pt 2.70-2.97, 3 Re 2.97
2 Pt 0.0000 0.0000 0.0000 [2 per cell]  6 Pt 2.65
3 Pt 0.1688 0.3376 0.7500 [6 per cell]  6 Pt 2.54-2.65, 2 Re 2.70

Properties
DOS(E_F): 8.1 states/eV/cell


--- iv ---
A plane-wave DFT calculation with PBE was carried out for crystalline RePt2 at its relaxed geometry.

abc: 2.8144 2.8144 20.2184
angles: 90.00 90.00 120.00
Closest atoms and distances in Å follow each position.
Space group R3m (No. 160, hexagonal axes)
Unique sites:
1 Re 0.0000 0.0000 0.0000 [3 per cell]  6 Pt 2.69-2.71, 6 Re 2.81
2 Pt 0.0000 0.0000 0.5593 [3 per cell]  3 Re 2.71, 9 Pt 2.81-2.92
3 Pt 0.0000 0.0000 0.7729 [3 per cell]  3 Re 2.69, 9 Pt 2.81-2.92

Properties
DOS(E_F): 9.6 states/eV/cell


Stability order, top to bottom: iv, i, ii, iii


--- i ---
A plane-wave DFT calculation with PBE was carried out for crystalline RePt2 at its relaxed geometry.

abc: 3.9552 3.9552 23.6606
angles: 90.00 90.00 90.00
Closest atoms and distances in Å follow each position.
Space group I4_1/amd (No. 141, origin choice 2)
Unique sites:
1 Re 0.0000 0.2500 0.2856 [8 per cell]  2 Re 2.60, 8 Pt 2.67-2.86
2 Pt 0.0000 0.2500 0.1229 [8 per cell]  8 Pt 2.78-2.85, 4 Re 2.86-2.93
3 Pt 0.0000 0.2500 0.7902 [8 per cell]  6 Re 2.67-2.80, 6 Pt 2.75-2.85

Properties
DOS(E_F): 28.3 states/eV/cell


--- ii ---
A plane-wave DFT calculation with PBE was carried out for crystalline RePt2 at its relaxed geometry.

abc: 4.8517 4.5037 8.4039
angles: 90.00 90.00 90.00
Closest atoms and distances in Å follow each position.
Space group Pnma (No. 62)
Unique sites:
1 Re 0.1707 0.2500 0.1770 [4 per cell]  2 Re 2.72, 10 Pt 2.73-2.87
2 Pt 0.1653 0.2500 0.8394 [4 per cell]  7 Pt 2.73-2.85, 5 Re 2.75-2.84
3 Pt 0.1744 0.2500 0.5014 [4 per cell]  5 Re 2.73-2.87, 7 Pt 2.73-2.84

Properties
DOS(E_F): 11.9 states/eV/cell


Stability order, top to bottom: ii, i